Record 1
# K2PaHgSe4 PBE optimized geometry
# - E_form (uncorrected): -813 kJ/mol of formula units
data_K2PaHgSe4
_chemical_formula_sum 'K2 Pa1 Hg1 Se4'
_cell_length_a 7.8095
_cell_length_b 4.2586
_cell_length_c 7.9555
_cell_angle_alpha 90.00
_cell_angle_beta 110.14
_cell_angle_gamma 90.00
_space_group_name_H-M_alt 'P 1 2/m 1'
_space_group_IT_number 10
loop_
_space_group_symop_operation_xyz
'x,y,z'
'-x,-y,-z'
'-x,y,-z'
'x,-y,z'
loop_
_atom_site_label
_atom_site_type_symbol
_atom_site_fract_x
_atom_site_fract_y
_atom_site_fract_z
_atom_site_occupancy
K1 K 0.0000 0.0000 0.0000 1
K2 K 0.5000 0.5000 0.0000 1
Pa1 Pa 0.0000 0.5000 0.5000 1
Hg1 Hg 0.5000 0.0000 0.5000 1
Se1 Se 0.2089 0.0000 0.7146 1
Se2 Se 0.2401 0.5000 0.3109 1

---

Record 2
# InHRuF2 PBE optimized geometry
# - Raw total energy: -3.983 eV/atom
data_InHRuF2
_chemical_formula_sum 'In1 H1 Ru1 F2'
_cell_length_a 4.5727
_cell_length_b 4.5727
_cell_length_c 3.6386
_cell_angle_alpha 90.00
_cell_angle_beta 90.00
_cell_angle_gamma 90.00
_space_group_name_H-M_alt 'P 4/m m m'
_space_group_IT_number 123
_space_group_name_Hall '-P 4 2'
loop_
_atom_site_label
_atom_site_type_symbol
_atom_site_fract_x
_atom_site_fract_y
_atom_site_fract_z
_atom_site_occupancy
In1 In 0.0000 0.0000 0.0000 1
H1 H 0.0000 0.0000 0.5000 1
Ru1 Ru 0.5000 0.5000 0.5000 1
F1 F 0.0000 0.5000 0.0000 1

---

Record 3
# BeIn2Mo PBE optimized geometry
# - Formation energy: 0.476 eV per atom
data_BeIn2Mo
_chemical_formula_sum 'Be1 In2 Mo1'
_cell_length_a 4.1499
_cell_length_b 4.1499
_cell_length_c 4.0490
_cell_angle_alpha 90.00
_cell_angle_beta 90.00
_cell_angle_gamma 90.00
_space_group_name_H-M_alt 'P 4/m m m'
_space_group_IT_number 123
_space_group_name_Hall '-P 4 2'
loop_
_atom_site_label
_atom_site_type_symbol
_atom_site_fract_x
_atom_site_fract_y
_atom_site_fract_z
_atom_site_occupancy
Be1 Be 0.0000 0.0000 0.0000 1
In1 In 0.0000 0.5000 0.5000 1
Mo1 Mo 0.5000 0.5000 0.0000 1

---

Record 4
# Tb3CuSiSe7 PBE optimized geometry
# - E_form (uncorrected): -1536 kJ/mol of formula units
data_Tb3CuSiSe7
_chemical_formula_sum 'Tb6 Cu2 Si2 Se14'
_cell_length_a 10.3855
_cell_length_b 10.3855
_cell_length_c 6.0280
_cell_angle_alpha 90.00
_cell_angle_beta 90.00
_cell_angle_gamma 120.00
_space_group_name_H-M_alt 'P 63'
_space_group_IT_number 173
loop_
_space_group_symop_operation_xyz
'x,y,z'
'x-y,x,z+1/2'
'-y,x-y,z'
'-x,-y,z+1/2'
'-x+y,-x,z'
'y,-x+y,z+1/2'
loop_
_atom_site_label
_atom_site_type_symbol
_atom_site_fract_x
_atom_site_fract_y
_atom_site_fract_z
_atom_site_occupancy
Tb1 Tb 0.1316 0.3556 0.0000 1
Cu1 Cu 0.0000 0.0000 0.4566 1
Si1 Si 0.3333 0.6667 0.5897 1
Se1 Se 0.0981 0.2608 0.4722 1
Se2 Se 0.1011 0.5802 0.7442 1
Se3 Se 0.3333 0.6667 0.2126 1

---

Record 5
# Cd2Co2Bi PBE optimized geometry
# - Energy above the lowest structure with this stoichiometry: 0 meV per atom
# - Formation energy: 0.325 eV per atom
data_Cd2Co2Bi
_chemical_formula_sum 'Cd4 Co4 Bi2'
_cell_length_a 3.3431
_cell_length_b 3.3431
_cell_length_c 18.5498
_cell_angle_alpha 90.00
_cell_angle_beta 90.00
_cell_angle_gamma 90.00
_space_group_name_H-M_alt 'I 4/m m m'
_space_group_IT_number 139
_space_group_name_Hall '-I 4 2'
loop_
_atom_site_label
_atom_site_type_symbol
_atom_site_fract_x
_atom_site_fract_y
_atom_site_fract_z
_atom_site_occupancy
Cd1 Cd 0.0000 0.0000 0.1308 1
Co1 Co 0.0000 0.5000 0.2500 1
Bi1 Bi 0.0000 0.0000 0.5000 1